(1)
# AuSN2Cl | Alexandria via LeMat-Bulk | PBE-GGA | relaxed
# * energy relative to the lowest polymorph listed for this composition: 0.291 eV/atom
# * formation energy without anion corrections: 2.1294 eV per atom
data_AuSN2Cl
_chemical_formula_sum 'Au1 S1 N2 Cl1'
_symmetry_space_group_name_H-M 'P 4/m m m'
_symmetry_Int_Tables_number 123
_symmetry_space_group_name_Hall '-P 4 2'
_cell_length_a 3.561
_cell_length_b 3.561
_cell_length_c 7.788
_cell_angle_alpha 90.00
_cell_angle_beta 90.00
_cell_angle_gamma 90.00
loop_
_atom_site_label
_atom_site_type_symbol
_atom_site_fract_x
_atom_site_fract_y
_atom_site_fract_z
Au1 Au 0.000 0.000 0.000
S1 S 0.500 0.500 0.000
N1 N 0.000 0.500 0.500
Cl1 Cl 0.500 0.500 0.500

(2)
# Au2SNCl | Alexandria via LeMat-Bulk | PBE-GGA | relaxed
# * formation energy without anion corrections: 0.8859 eV per atom
data_Au2SNCl
_chemical_formula_sum 'Au2 S1 N1 Cl1'
_symmetry_space_group_name_H-M 'P 4/m m m'
_symmetry_Int_Tables_number 123
_symmetry_space_group_name_Hall '-P 4 2'
_cell_length_a 5.053
_cell_length_b 5.053
_cell_length_c 3.471
_cell_angle_alpha 90.00
_cell_angle_beta 90.00
_cell_angle_gamma 90.00
loop_
_atom_site_label
_atom_site_type_symbol
_atom_site_fract_x
_atom_site_fract_y
_atom_site_fract_z
Au1 Au 0.000 0.500 0.000
S1 S 0.000 0.000 0.000
N1 N 0.000 0.000 0.500
Cl1 Cl 0.500 0.500 0.500

(3)
# AuS2NCl | Alexandria via LeMat-Bulk | PBE-GGA | relaxed
# * energy relative to the lowest polymorph listed for this composition: 0.764 eV/atom
# * formation energy without anion corrections: 1.7653 eV per atom
data_AuS2NCl
_chemical_formula_sum 'Au1 S2 N1 Cl1'
_symmetry_space_group_name_H-M 'P 4/m m m'
_symmetry_Int_Tables_number 123
_symmetry_space_group_name_Hall '-P 4 2'
_cell_length_a 5.006
_cell_length_b 5.006
_cell_length_c 3.361
_cell_angle_alpha 90.00
_cell_angle_beta 90.00
_cell_angle_gamma 90.00
loop_
_atom_site_label
_atom_site_type_symbol
_atom_site_fract_x
_atom_site_fract_y
_atom_site_fract_z
Au1 Au 0.000 0.000 0.000
S1 S 0.000 0.500 0.500
N1 N 0.500 0.500 0.000
Cl1 Cl 0.500 0.500 0.500

(4)
# AuSNCl2 | Alexandria via LeMat-Bulk | PBE-GGA | relaxed
# * energy relative to the lowest polymorph listed for this composition: 0.000 eV/atom
# * formation energy without anion corrections: 1.2269 eV per atom
data_AuSNCl2
_chemical_formula_sum 'Au1 S1 N1 Cl2'
_symmetry_space_group_name_H-M 'P 4/m m m'
_symmetry_Int_Tables_number 123
_symmetry_space_group_name_Hall '-P 4 2'
_cell_length_a 4.246
_cell_length_b 4.246
_cell_length_c 4.654
_cell_angle_alpha 90.00
_cell_angle_beta 90.00
_cell_angle_gamma 90.00
loop_
_atom_site_label
_atom_site_type_symbol
_atom_site_fract_x
_atom_site_fract_y
_atom_site_fract_z
Au1 Au 0.000 0.000 0.000
S1 S 0.500 0.500 0.000
N1 N 0.500 0.500 0.500
Cl1 Cl 0.000 0.500 0.500

(5)
# AuS2NCl | Alexandria via LeMat-Bulk | PBE-GGA | relaxed
# * energy relative to the lowest polymorph listed for this composition: 0.459 eV/atom
# * formation energy without anion corrections: 1.4609 eV per atom
data_AuS2NCl
_chemical_formula_sum 'Au1 S2 N1 Cl1'
_symmetry_space_group_name_H-M 'P 4/m m m'
_symmetry_Int_Tables_number 123
_symmetry_space_group_name_Hall '-P 4 2'
_cell_length_a 5.197
_cell_length_b 5.197
_cell_length_c 3.791
_cell_angle_alpha 90.00
_cell_angle_beta 90.00
_cell_angle_gamma 90.00
loop_
_atom_site_label
_atom_site_type_symbol
_atom_site_fract_x
_atom_site_fract_y
_atom_site_fract_z
Au1 Au 0.000 0.000 0.000
S1 S 0.000 0.500 0.000
N1 N 0.000 0.000 0.500
Cl1 Cl 0.500 0.500 0.500

(6)
# AuSeN2Cl | Alexandria via LeMat-Bulk | PBE-GGA | relaxed
# * energy relative to the lowest polymorph listed for this composition: 0.087 eV/atom
# * formation energy without anion corrections: 1.7729 eV per atom
data_AuSeN2Cl
_chemical_formula_sum 'Au1 Se1 N2 Cl1'
_symmetry_space_group_name_H-M 'P 4/m m m'
_symmetry_Int_Tables_number 123
_symmetry_space_group_name_Hall '-P 4 2'
_cell_length_a 3.836
_cell_length_b 3.836
_cell_length_c 7.903
_cell_angle_alpha 90.00
_cell_angle_beta 90.00
_cell_angle_gamma 90.00
loop_
_atom_site_label
_atom_site_type_symbol
_atom_site_fract_x
_atom_site_fract_y
_atom_site_fract_z
Au1 Au 0.000 0.000 0.000
Se1 Se 0.500 0.500 0.500
N1 N 0.000 0.500 0.000
Cl1 Cl 0.000 0.000 0.500

(7)
# AuSeN2Cl | Alexandria via LeMat-Bulk | PBE-GGA | relaxed
# * energy relative to the lowest polymorph listed for this composition: 0.000 eV/atom
# * formation energy without anion corrections: 1.6855 eV per atom
data_AuSeN2Cl
_chemical_formula_sum 'Au1 Se1 N2 Cl1'
_symmetry_space_group_name_H-M 'P 4/m m m'
_symmetry_Int_Tables_number 123
_symmetry_space_group_name_Hall '-P 4 2'
_cell_length_a 3.987
_cell_length_b 3.987
_cell_length_c 6.505
_cell_angle_alpha 90.00
_cell_angle_beta 90.00
_cell_angle_gamma 90.00
loop_
_atom_site_label
_atom_site_type_symbol
_atom_site_fract_x
_atom_site_fract_y
_atom_site_fract_z
Au1 Au 0.000 0.000 0.000
Se1 Se 0.000 0.000 0.500
N1 N 0.000 0.500 0.000
Cl1 Cl 0.500 0.500 0.500

(8)
# AuSeN2Cl | Alexandria via LeMat-Bulk | PBE-GGA | relaxed
# * energy relative to the lowest polymorph listed for this composition: 0.408 eV/atom
# * formation energy without anion corrections: 2.0931 eV per atom
data_AuSeN2Cl
_chemical_formula_sum 'Au1 Se1 N2 Cl1'
_symmetry_space_group_name_H-M 'P 4/m m m'
_symmetry_Int_Tables_number 123
_symmetry_space_group_name_Hall '-P 4 2'
_cell_length_a 3.696
_cell_length_b 3.696
_cell_length_c 8.062
_cell_angle_alpha 90.00
_cell_angle_beta 90.00
_cell_angle_gamma 90.00
loop_
_atom_site_label
_atom_site_type_symbol
_atom_site_fract_x
_atom_site_fract_y
_atom_site_fract_z
Au1 Au 0.000 0.000 0.000
Se1 Se 0.500 0.500 0.000
N1 N 0.000 0.500 0.500
Cl1 Cl 0.500 0.500 0.500

(9)
# Na3Au5Cl12 | Alexandria via LeMat-Bulk | PBE-GGA | relaxed
# * formation energy without anion corrections: -0.5772 eV per atom
data_Na3Au5Cl12
_chemical_formula_sum 'Na24 Au40 Cl96'
_symmetry_space_group_name_H-M 'I a -3 d'
_symmetry_Int_Tables_number 230
_symmetry_space_group_name_Hall '-I 4bd 2c 3'
_cell_length_a 16.352
_cell_length_b 16.352
_cell_length_c 16.352
_cell_angle_alpha 90.00
_cell_angle_beta 90.00
_cell_angle_gamma 90.00
loop_
_atom_site_label
_atom_site_type_symbol
_atom_site_fract_x
_atom_site_fract_y
_atom_site_fract_z
Na1 Na 0.000 0.250 0.125
Au1 Au 0.000 0.000 0.000
Au2 Au 0.000 0.250 0.375
Cl1 Cl 0.018 0.043 0.651

(10)
# Na3AuCl | Alexandria via LeMat-Bulk | PBE-GGA | relaxed
# * energy relative to the lowest polymorph listed for this composition: 0.000 eV/atom
# * formation energy without anion corrections: -0.6371 eV per atom
data_Na3AuCl
_chemical_formula_sum 'Na3 Au1 Cl1'
_symmetry_space_group_name_H-M 'P m -3 m'
_symmetry_Int_Tables_number 221
_symmetry_space_group_name_Hall '-P 4 2 3'
_cell_length_a 5.235
_cell_length_b 5.235
_cell_length_c 5.235
_cell_angle_alpha 90.00
_cell_angle_beta 90.00
_cell_angle_gamma 90.00
loop_
_atom_site_label
_atom_site_type_symbol
_atom_site_fract_x
_atom_site_fract_y
_atom_site_fract_z
Na1 Na 0.000 0.000 0.500
Au1 Au 0.500 0.500 0.500
Cl1 Cl 0.000 0.000 0.000

(11)
# Na2AuCl | Alexandria via LeMat-Bulk | PBE-GGA | relaxed
# * energy relative to the lowest polymorph listed for this composition: 0.080 eV/atom
# * formation energy without anion corrections: -0.8738 eV per atom
data_Na2AuCl
_chemical_formula_sum 'Na8 Au4 Cl4'
_symmetry_space_group_name_H-M 'I -4 2 d'
_symmetry_Int_Tables_number 122
_symmetry_space_group_name_Hall 'I -4 2bw'
_cell_length_a 7.357
_cell_length_b 7.357
_cell_length_c 8.712
_cell_angle_alpha 90.00
_cell_angle_beta 90.00
_cell_angle_gamma 90.00
loop_
_atom_site_label
_atom_site_type_symbol
_atom_site_fract_x
_atom_site_fract_y
_atom_site_fract_z
Na1 Na 0.219 0.250 0.125
Au1 Au 0.000 0.000 0.500
Cl1 Cl 0.000 0.000 0.000

(12)
# Na3AuCl6 | Alexandria via LeMat-Bulk | PBE-GGA | relaxed
# * energy relative to the lowest polymorph listed for this composition: 0.000 eV/atom
# * formation energy without anion corrections: -1.1757 eV per atom
data_Na3AuCl6
_chemical_formula_sum 'Na6 Au2 Cl12'
_symmetry_space_group_name_H-M 'P 1 21/c 1'
_symmetry_Int_Tables_number 14
_symmetry_space_group_name_Hall '-P 2ybc'
_cell_length_a 4.479
_cell_length_b 7.966
_cell_length_c 14.842
_cell_angle_alpha 90.00
_cell_angle_beta 100.76
_cell_angle_gamma 90.00
loop_
_atom_site_label
_atom_site_type_symbol
_atom_site_fract_x
_atom_site_fract_y
_atom_site_fract_z
Na1 Na 0.000 0.000 0.000
Na2 Na 0.353 0.210 0.747
Au1 Au 0.500 0.000 0.500
Cl1 Cl 0.101 0.528 0.691
Cl2 Cl 0.243 0.574 0.117
Cl3 Cl 0.467 0.725 0.445

(13)
# NaAuCl2 | Alexandria via LeMat-Bulk | PBE-GGA | relaxed
# * energy relative to the lowest polymorph listed for this composition: 0.192 eV/atom
# * formation energy without anion corrections: -0.8104 eV per atom
data_NaAuCl2
_chemical_formula_sum 'Na4 Au4 Cl8'
_symmetry_space_group_name_H-M 'I -4 2 d'
_symmetry_Int_Tables_number 122
_symmetry_space_group_name_Hall 'I -4 2bw'
_cell_length_a 5.790
_cell_length_b 5.790
_cell_length_c 13.550
_cell_angle_alpha 90.00
_cell_angle_beta 90.00
_cell_angle_gamma 90.00
loop_
_atom_site_label
_atom_site_type_symbol
_atom_site_fract_x
_atom_site_fract_y
_atom_site_fract_z
Na1 Na 0.000 0.000 0.000
Au1 Au 0.000 0.000 0.500
Cl1 Cl 0.232 0.250 0.625

(14)
# NaAu3Cl | Alexandria via LeMat-Bulk | PBE-GGA | relaxed
# * energy relative to the lowest polymorph listed for this composition: 0.289 eV/atom
# * formation energy without anion corrections: 0.8442 eV per atom
data_NaAu3Cl
_chemical_formula_sum 'Na1 Au3 Cl1'
_symmetry_space_group_name_H-M 'P m -3 m'
_symmetry_Int_Tables_number 221
_symmetry_space_group_name_Hall '-P 4 2 3'
_cell_length_a 5.069
_cell_length_b 5.069
_cell_length_c 5.069
_cell_angle_alpha 90.00
_cell_angle_beta 90.00
_cell_angle_gamma 90.00
loop_
_atom_site_label
_atom_site_type_symbol
_atom_site_fract_x
_atom_site_fract_y
_atom_site_fract_z
Na1 Na 0.000 0.000 0.000
Au1 Au 0.000 0.000 0.500
Cl1 Cl 0.500 0.500 0.500

(15)
# Na2AuCl | Alexandria via LeMat-Bulk | PBE-GGA | relaxed
# * energy relative to the lowest polymorph listed for this composition: 0.015 eV/atom
# * formation energy without anion corrections: -0.9389 eV per atom
data_Na2AuCl
_chemical_formula_sum 'Na6 Au3 Cl3'
_symmetry_space_group_name_H-M 'R 3 m'
_symmetry_Int_Tables_number 160
_symmetry_space_group_name_Hall 'R 3 -2"'
_cell_length_a 3.9880
_cell_length_b 3.9880
_cell_length_c 21.9133
_cell_angle_alpha 90.00
_cell_angle_beta 90.00
_cell_angle_gamma 120.00
loop_
_atom_site_label
_atom_site_type_symbol
_atom_site_fract_x
_atom_site_fract_y
_atom_site_fract_z
Na1 Na 0.0000 0.0000 0.0000
Na2 Na 0.0000 0.0000 0.1807
Au1 Au 0.0000 0.0000 0.4228
Cl1 Cl 0.0000 0.0000 0.5908

(16)
# Na2AuCl | Alexandria via LeMat-Bulk | PBE-GGA | relaxed
# * energy relative to the lowest polymorph listed for this composition: 0.032 eV/atom
# * formation energy without anion corrections: -0.9219 eV per atom
data_Na2AuCl
_chemical_formula_sum 'Na2 Au1 Cl1'
_symmetry_space_group_name_H-M 'P 4/m m m'
_symmetry_Int_Tables_number 123
_symmetry_space_group_name_Hall '-P 4 2'
_cell_length_a 3.464
_cell_length_b 3.464
_cell_length_c 7.261
_cell_angle_alpha 90.00
_cell_angle_beta 90.00
_cell_angle_gamma 90.00
loop_
_atom_site_label
_atom_site_type_symbol
_atom_site_fract_x
_atom_site_fract_y
_atom_site_fract_z
Na1 Na 0.000 0.000 0.234
Au1 Au 0.500 0.500 0.500
Cl1 Cl 0.500 0.500 0.000

(17)
# Na2AuCl | Alexandria via LeMat-Bulk | PBE-GGA | relaxed
# * energy relative to the lowest polymorph listed for this composition: 0.124 eV/atom
# * formation energy without anion corrections: -0.8296 eV per atom
data_Na2AuCl
_chemical_formula_sum 'Na8 Au4 Cl4'
_symmetry_space_group_name_H-M 'F m -3 m'
_symmetry_Int_Tables_number 225
_symmetry_space_group_name_Hall '-F 4 2 3'
_cell_length_a 7.222
_cell_length_b 7.222
_cell_length_c 7.222
_cell_angle_alpha 90.00
_cell_angle_beta 90.00
_cell_angle_gamma 90.00
loop_
_atom_site_label
_atom_site_type_symbol
_atom_site_fract_x
_atom_site_fract_y
_atom_site_fract_z
Na1 Na 0.250 0.250 0.250
Au1 Au 0.000 0.000 0.000
Cl1 Cl 0.000 0.000 0.500

(18)
# NaAuCl5 | Alexandria via LeMat-Bulk | PBE-GGA | relaxed
# * energy relative to the lowest polymorph listed for this composition: 0.000 eV/atom
# * formation energy without anion corrections: -0.6092 eV per atom
data_NaAuCl5
_chemical_formula_sum 'Na4 Au4 Cl20'
_symmetry_space_group_name_H-M 'C 1 2/c 1'
_symmetry_Int_Tables_number 15
_symmetry_space_group_name_Hall '-C 2yc'
_cell_length_a 8.944
_cell_length_b 10.225
_cell_length_c 9.444
_cell_angle_alpha 90.00
_cell_angle_beta 111.97
_cell_angle_gamma 90.00
loop_
_atom_site_label
_atom_site_type_symbol
_atom_site_fract_x
_atom_site_fract_y
_atom_site_fract_z
Na1 Na 0.000 0.062 0.250
Au1 Au 0.250 0.250 0.000
Cl1 Cl 0.000 0.223 0.750
Cl2 Cl 0.076 0.301 0.127
Cl3 Cl 0.225 0.027 0.048

(19)
# Na2AuCl | Alexandria via LeMat-Bulk | PBE-GGA | relaxed
# * energy relative to the lowest polymorph listed for this composition: 0.000 eV/atom
# * formation energy without anion corrections: -0.9538 eV per atom
data_Na2AuCl
_chemical_formula_sum 'Na6 Au3 Cl3'
_symmetry_space_group_name_H-M 'R -3 m'
_symmetry_Int_Tables_number 166
_symmetry_space_group_name_Hall '-R 3 2"'
_cell_length_a 4.0422
_cell_length_b 4.0422
_cell_length_c 21.3285
_cell_angle_alpha 90.00
_cell_angle_beta 90.00
_cell_angle_gamma 120.00
loop_
_atom_site_label
_atom_site_type_symbol
_atom_site_fract_x
_atom_site_fract_y
_atom_site_fract_z
Na1 Na 0.0000 0.0000 0.2429
Au1 Au 0.0000 0.0000 0.0000
Cl1 Cl 0.0000 0.0000 0.5000

(20)
# Na2Au2Cl5 | Alexandria via LeMat-Bulk | PBE-GGA | relaxed
# * formation energy without anion corrections: -0.8254 eV per atom
data_Na2Au2Cl5
_chemical_formula_sum 'Na8 Au8 Cl20'
_symmetry_space_group_name_H-M 'I m a 2'
_symmetry_Int_Tables_number 46
_symmetry_space_group_name_Hall 'I 2 -2a'
_cell_length_a 17.565
_cell_length_b 7.191
_cell_length_c 7.490
_cell_angle_alpha 90.00
_cell_angle_beta 90.00
_cell_angle_gamma 90.00
loop_
_atom_site_label
_atom_site_type_symbol
_atom_site_fract_x
_atom_site_fract_y
_atom_site_fract_z
Na1 Na 0.116 0.046 0.000
Au1 Au 0.000 0.000 0.384
Au2 Au 0.250 0.007 0.584
Cl1 Cl 0.020 0.745 0.628
Cl2 Cl 0.145 0.093 0.373
Cl3 Cl 0.250 0.598 0.384

In g/cm³, the mass density values for the records above are, in order, 4.920 8.909 6.124 6.215 5.036 4.846 5.449 5.118 4.495 3.488 3.921 3.056 4.252 8.277 4.595 5.305 4.908 3.294 4.595 4.333.